CuCO3 | PBEsol | optimized geometry

Calculated values
Energy: -6.87 eV/atom
Magnetization: 0.00 μB/cell

Unit cell a=4.114 b=4.743 c=6.347 alpha=71.84 beta=74.16 gamma=68.37
Space group P-1 (No. 2)
Unique sites:
1 Cu 0.047 0.268 0.238 (multiplicity 2)
2 C 0.459 0.636 0.248 (multiplicity 2)
3 O 0.179 0.831 0.323 (multiplicity 2)
4 O 0.241 0.307 0.838 (multiplicity 2)
5 O 0.474 0.348 0.264 (multiplicity 2)